Record 1
VASP calculation (GGA-PBE) on crystalline HfCd2Au at its relaxed geometry.

a = 3.1198 Å, b = 3.1198 Å, c = 29.5078 Å
α = 90.00°, β = 90.00°, γ = 120.00°
Space group R3m (No. 160, hexagonal axes)
Unique sites:
Hf 0.0000 0.0000 0.0000 x3
Cd 0.0000 0.0000 0.2463 x3
Cd 0.0000 0.0000 0.4205 x3
Au 0.0000 0.0000 0.8331 x3

Results
Final energy, eV/atom: -3.780
Formation energy from the elements, kcal/mol of atoms: -0.34

=====

Record 2
VASP calculation (GGA-PBE) on crystalline Hf2Cd2Au at its relaxed geometry.

a = 3.9928 Å, b = 3.9928 Å, c = 14.4420 Å
α = 90.00°, β = 90.00°, γ = 90.00°
Space group I4/mmm (No. 139)
Unique sites:
Hf 0.0000 0.5000 0.2500 x4
Cd 0.0000 0.0000 0.0926 x4
Au 0.0000 0.0000 0.5000 x2

Results
Final energy, eV/atom: -4.583
Formation energy from the elements, kcal/mol of atoms: 9.69

=====

These records have total magnetization values of 0.000, 0.000 μB/f.u., in the order they appear.